A plane-wave DFT calculation with PBE was carried out for a relaxed structure of LiNbCd2Ge.

Output
The space group is P4/mmm.

Lattice parameters (Å, degrees): 4.5953 4.5143 4.5953 90.00 90.00 90.00
Site moments in Bohr magnetons follow the coordinates.
Fractional positions:
1 Cd 0.5000 0.0000 0.0000  -0.01
2 Nb 0.5000 0.5000 0.5000  1.13
3 Li 0.0000 0.0000 0.0000  0.00
4 Ge 0.0000 0.5000 0.0000  0.01
5 Cd 0.0000 0.0000 0.5000  0.00

A plane-wave DFT calculation with PBE was carried out for a relaxed structure of LiNdCdGe.

Output
The space group is F-43m.

Lattice parameters (Å, degrees): 5.0485 5.0485 5.0485 60.00 60.00 60.00
Fractional positions:
1 Nd 0.0000 0.0000 0.0000
2 Cd 0.7500 0.7500 0.7500
3 Ge 0.2500 0.2500 0.2500
4 Li 0.5000 0.5000 0.5000

| no. | formation energy (eV/atom) |
| --- | --- |
| 1 | 0.646 |
| 2 | -0.411 |